This record from the Alexandria database describes a relaxed BeCo2MoPd crystal. The functional is PBE.

For the electronic total energy, the calculation gives -0.227 Ha/atom. The calculated density comes out at 8.533 g cm⁻³. The formation enthalpy at 0 K comes out at 608 meV per atom.

Cell lengths 3.903, 3.903, 4.206 Å; angles 90.00, 90.00, 90.00 degrees
Space group P4/mmm (No. 123)
Symmetry-distinct sites (fractional):
Be  0.000  0.000  0.000 (multiplicity 1)
Co  0.000  0.500  0.000 (multiplicity 2)
Mo  0.000  0.000  0.500 (multiplicity 1)
Pd  0.500  0.500  0.500 (multiplicity 1)



This record from the Alexandria database describes a relaxed Sc2Be2Co5Mo crystal. The functional is PBE.

For the electronic total energy, the calculation gives -0.255 Ha/atom. The calculated density comes out at 6.796 g cm⁻³. The formation enthalpy at 0 K comes out at -289 meV per atom.

Cell lengths 8.831, 8.831, 3.124 Å; angles 90.00, 90.00, 90.00 degrees
Space group P4/mbm (No. 127)
Symmetry-distinct sites (fractional):
Sc  0.175  0.325  0.000 (multiplicity 4)
Be  0.119  0.619  0.000 (multiplicity 4)
Co  0.000  0.500  0.500 (multiplicity 2)
Co  0.068  0.789  0.500 (multiplicity 8)
Mo  0.000  0.000  0.000 (multiplicity 2)



This record from the Alexandria database describes a relaxed Be2Co5SiMo2 crystal. The functional is PBE.

For the electronic total energy, the calculation gives -0.266 Ha/atom. The value obtained for the uncorrected formation energy is -0.228 eV per atom. The calculated density comes out at 8.182 g cm⁻³.

Cell lengths 8.890, 8.890, 2.736 Å; angles 90.00, 90.00, 90.00 degrees
Space group P4/mbm (No. 127)
Symmetry-distinct sites (fractional):
Be  0.125  0.375  0.000 (multiplicity 4)
Co  0.000  0.500  0.500 (multiplicity 2)
Co  0.055  0.203  0.500 (multiplicity 8)
Si  0.000  0.000  0.000 (multiplicity 2)
Mo  0.178  0.678  0.000 (multiplicity 4)